No. 1
14
Lattice="-8.463 12.271 -1.716 -12.247 7.254 -4.747 8.786 -10.419 6.277" Properties=species:S:1:pos:R:3 comment="Ca4In2N (PBE, optimized geometry)" dft_energy_ev_per_atom=-3.772 formation_energy_uncorrected_ev_per_fu=-4.6 space_group="I4_1/amd, No. 141" pbc="T T T"
In -18.844 17.767 -5.881
In -1.866 1.759 -0.582
In -6.882 7.566 0.082
In -3.150 4.048 1.247
Ca -12.070 8.166 -2.462
Ca -8.587 4.882 -1.375
Ca -1.746 -1.567 0.760
Ca -5.229 1.716 -0.327
Ca -15.516 14.629 -4.843
Ca -8.675 8.179 -2.708
Ca -5.193 4.896 -1.621
Ca -12.034 11.346 -3.756
N -10.355 9.763 -3.232
N -6.908 3.299 -0.851

No. 2
5
Lattice="4.537 0.000 0.000 0.000 4.537 0.000 0.000 0.000 4.537" Properties=species:S:1:pos:R:3 comment="CaInN3 (PBE, optimized geometry)" dft_energy_ev_per_atom=-4.180 formation_energy_uncorrected_ev_per_fu=8.8 space_group="Pm-3m, No. 221" pbc="T T T"
In 2.268 2.268 2.268
Ca 0.000 0.000 0.000
N 0.000 2.268 0.000
N 2.268 0.000 0.000
N 0.000 0.000 2.268

No. 3
5
Lattice="5.892 0.000 0.000 0.000 5.892 0.000 0.000 0.000 5.892" Properties=species:S:1:pos:R:3 comment="CaIn3N (PBE, optimized geometry)" dft_energy_ev_per_atom=-1.953 formation_energy_uncorrected_ev_per_fu=8.8 space_group="Pm-3m, No. 221" pbc="T T T"
In 0.000 0.000 2.946
In 2.946 0.000 0.000
In 0.000 2.946 0.000
Ca 0.000 0.000 0.000
N 2.946 2.946 2.946

No. 4
5
Lattice="-5.018 4.210 4.817 -3.091 2.484 7.098 -1.926 5.431 5.736" Properties=species:S:1:pos:R:3 comment="CaIn2N2 (PBE, optimized geometry)" dft_energy_ev_per_atom=-5.124 formation_energy_uncorrected_ev_per_fu=-1.5 space_group="R-3m, No. 166" pbc="T T T"
In -2.227 2.691 3.917
In -7.809 9.435 13.734
N -3.992 4.824 7.022
N -6.043 7.302 10.629
Ca 0.000 0.000 0.000